1.
Density functional theory data (PBE) for an optimized crystal structure of Al2CoW.

a b c (Å): 2.7994 2.7994 25.1600
angles (deg): 90.00 90.00 120.00
Space group R-3m (No. 166, hexagonal axes)
Unique sites:
Al1 0.0000 0.0000 0.2423 x6
Co1 0.0000 0.0000 0.5000 x3
W1 0.0000 0.0000 0.0000 x3

Properties
Total magnetization = 0.92 μB/f.u.
Crystal system = trigonal

2.
Density functional theory data (PBE) for an optimized crystal structure of Al2CoW.

a b c (Å): 3.786 3.786 7.770
angles (deg): 90.00 90.00 90.00
Space group I4/mmm (No. 139)
Unique sites:
Al1 0.000 0.500 0.250 x4
Co1 0.000 0.000 0.000 x2
W1 0.000 0.000 0.500 x2

Properties
Total magnetization = 0.81 μB/f.u.
Crystal system = tetragonal

Which structure is most stable, and how do the rest compare? From most to least stable: 1, 2.

1.
Density functional theory data (PBE) for an optimized crystal structure of Al2CoW.

a b c (Å): 2.765 4.624 8.693
angles (deg): 90.00 90.00 90.00
Space group Immm (No. 71)
Unique sites:
Al1 0.000 0.000 0.226 x4
Co1 0.000 0.500 0.500 x2
W1 0.000 0.500 0.000 x2

Properties
Total magnetization = 0.01 μB/f.u.
Crystal system = orthorhombic

2.
Density functional theory data (PBE) for an optimized crystal structure of Al2CoW.

a b c (Å): 2.984 2.984 6.194
angles (deg): 90.00 90.00 90.00
Space group P4mm (No. 99)
Unique sites:
Al1 0.000 0.000 0.000 x1
Al2 0.500 0.500 0.278 x1
Co1 0.000 0.000 0.471 x1
W1 0.500 0.500 0.730 x1

Properties
Total magnetization = 0.06 μB/f.u.
Crystal system = tetragonal

Which structure is most stable, and how do the rest compare? From most to least stable: 2, 1.